Crystalline LaBe2Zn2 at its relaxed geometry, computed with PBE. Values from VASP.

Quantum ESPRESSO input file:
```
&SYSTEM
  ibrav = 0, nat = 5, ntyp = 3
/
ATOMIC_SPECIES
La 138.91 La.upf
Be 9.01 Be.upf
Zn 65.41 Zn.upf
ATOMIC_POSITIONS crystal
La 0.0000 0.0000 0.0000
Be 0.2500 0.7500 0.5000
Be 0.7500 0.2500 0.5000
Zn 0.3630 0.3630 0.0000
Zn 0.6370 0.6370 0.0000
CELL_PARAMETERS angstrom
-2.1001 2.1001 4.8427
2.1001 -2.1001 4.8427
2.1001 2.1001 -4.8427
```

- ΔE to the lowest computed polymorph (kJ/mol of atoms) = 0.0
- final energy (eV/atom) = -3.064
- ΔE_f (eV/atom) = -0.078

Crystalline AsIrOs2 at its relaxed geometry, computed with PBE. Values from VASP.

Quantum ESPRESSO input file:
```
&SYSTEM
  ibrav = 0, nat = 4, ntyp = 3
/
ATOMIC_SPECIES
As 74.92 As.upf
Ir 192.22 Ir.upf
Os 190.23 Os.upf
ATOMIC_POSITIONS crystal
As 0.0000 0.0000 0.0000
Ir 0.5000 0.5000 0.5000
Os 0.2538 0.2538 0.2538
Os 0.7462 0.7462 0.7462
CELL_PARAMETERS angstrom
1.4215 0.8207 8.3564
-1.4215 0.8207 8.3564
0.0000 -1.6414 8.3564
```

- final energy (eV/atom) = -8.638
- ΔE_f (eV/atom) = 0.355

Crystalline TlIrRh2Cl at its relaxed geometry, computed with PBE. Values from VASP.

Quantum ESPRESSO input file:
```
&SYSTEM
  ibrav = 0, nat = 5, ntyp = 4
/
ATOMIC_SPECIES
Tl 204.38 Tl.upf
Ir 192.22 Ir.upf
Rh 102.91 Rh.upf
Cl 35.45 Cl.upf
ATOMIC_POSITIONS crystal
Tl 0.0000 0.0000 0.0000
Ir 0.0000 0.0000 0.5000
Rh 0.0000 0.5000 0.5000
Rh 0.5000 0.0000 0.5000
Cl 0.5000 0.5000 0.0000
CELL_PARAMETERS angstrom
4.7524 0.0000 0.0000
0.0000 4.7524 0.0000
0.0000 0.0000 5.4133
```

- final energy (eV/atom) = -4.662
- E_form (uncorrected) (eV per formula unit) = 4.5

Crystalline Sm7Te2Rh2 at its relaxed geometry, computed with PBE. Values from VASP.

Quantum ESPRESSO input file:
```
&SYSTEM
  ibrav = 0, nat = 11, ntyp = 3
/
ATOMIC_SPECIES
Sm 150.36 Sm.upf
Te 127.60 Te.upf
Rh 102.91 Rh.upf
ATOMIC_POSITIONS crystal
Sm 0.0000 0.0000 0.0000
Sm 0.2876 0.4180 0.8695
Sm 0.3039 0.6223 0.6816
Sm 0.5485 0.4180 0.1305
Sm 0.6154 0.2629 0.3525
Sm 0.9104 0.2629 0.6475
Sm 0.9407 0.6223 0.3184
Te 0.2647 0.7647 0.5000
Te 0.6656 0.6656 0.0000
Rh 0.1681 0.9300 0.2381
Rh 0.6919 0.9300 0.7619
CELL_PARAMETERS angstrom
-1.9953 8.1167 4.8556
1.9953 -8.1167 4.8556
1.9953 8.1167 -4.8556
```

- final energy (eV/atom) = -5.744
- E_form (uncorrected) (eV per formula unit) = -9.2

Crystalline TaTl2Pb at its relaxed geometry, computed with PBE. Values from VASP.

Quantum ESPRESSO input file:
```
&SYSTEM
  ibrav = 0, nat = 4, ntyp = 3
/
ATOMIC_SPECIES
Ta 180.95 Ta.upf
Tl 204.38 Tl.upf
Pb 207.20 Pb.upf
ATOMIC_POSITIONS crystal
Ta 0.0000 0.0000 0.0000
Tl 0.0000 0.0000 0.5241
Tl 0.5000 0.5000 0.7857
Pb 0.5000 0.5000 0.2169
CELL_PARAMETERS angstrom
1.9763 -2.4495 0.0000
1.9763 2.4495 0.0000
0.0000 0.0000 10.7884
```

- ΔE to the lowest computed polymorph (kJ/mol of atoms) = 0.0
- final energy (eV/atom) = -4.682
- ΔE_f (eV/atom) = 0.391

Crystalline La3HgOs at its relaxed geometry, computed with PBE. Values from VASP.

Quantum ESPRESSO input file:
```
&SYSTEM
  ibrav = 0, nat = 10, ntyp = 3
/
ATOMIC_SPECIES
La 138.91 La.upf
Hg 200.59 Hg.upf
Os 190.23 Os.upf
ATOMIC_POSITIONS crystal
La 0.1093 0.1093 0.1938
La 0.1483 0.1483 0.6099
La 0.3658 0.3658 0.0953
La 0.6342 0.6342 0.9047
La 0.8517 0.8517 0.3901
La 0.8907 0.8907 0.8062
Hg 0.4396 0.4396 0.6136
Hg 0.5604 0.5604 0.3864
Os 0.2598 0.2598 0.8400
Os 0.7402 0.7402 0.1600
CELL_PARAMETERS angstrom
6.2406 -2.2194 0.0000
6.2406 2.2194 0.0000
-2.6666 0.0000 11.3485
```

- ΔE to the lowest computed polymorph (kJ/mol of atoms) = 2.2
- final energy (eV/atom) = -5.540
- ΔE_f (eV/atom) = -0.277

Crystalline Ta2ReBr at its relaxed geometry, computed with PBE. Values from VASP.

Quantum ESPRESSO input file:
```
&SYSTEM
  ibrav = 0, nat = 4, ntyp = 3
/
ATOMIC_SPECIES
Ta 180.95 Ta.upf
Re 186.21 Re.upf
Br 79.90 Br.upf
ATOMIC_POSITIONS crystal
Ta 0.0000 0.0000 0.2164
Ta 0.0000 0.0000 0.7836
Re 0.5000 0.5000 0.0000
Br 0.5000 0.5000 0.5000
CELL_PARAMETERS angstrom
3.1113 0.0000 0.0000
0.0000 3.1113 0.0000
0.0000 0.0000 7.5082
```

- ΔE to the lowest computed polymorph (kJ/mol of atoms) = 0.0
- final energy (eV/atom) = -9.278
- E_form (uncorrected) (eV per formula unit) = 0.7

Crystalline Rb2NpAgO6 at its relaxed geometry, computed with PBE. Values from VASP.

Quantum ESPRESSO input file:
```
&SYSTEM
  ibrav = 0, nat = 10, ntyp = 4
/
ATOMIC_SPECIES
Rb 85.47 Rb.upf
Np 237.00 Np.upf
Ag 107.87 Ag.upf
O 16.00 O.upf
ATOMIC_POSITIONS crystal
Rb 0.2492 0.2508 0.9996
Rb 0.7508 0.7492 0.0004
Np 0.0000 0.5000 0.5000
Ag 0.5000 0.0000 0.5000
O 0.1896 0.6904 0.8764
O 0.2502 0.7491 0.4950
O 0.2521 0.2479 0.5012
O 0.7479 0.7521 0.4988
O 0.7498 0.2509 0.5050
O 0.8104 0.3096 0.1236
CELL_PARAMETERS angstrom
5.8168 0.0000 0.0000
-0.0001 5.8171 0.0000
-2.9064 -2.9058 5.0402
```

- final energy (eV/atom) = -6.474
- E_form (uncorrected) (eV per formula unit) = -17.3

Crystalline ZrTaAg at its relaxed geometry, computed with PBE. Values from VASP.

Quantum ESPRESSO input file:
```
&SYSTEM
  ibrav = 0, nat = 3, ntyp = 3
/
ATOMIC_SPECIES
Zr 91.22 Zr.upf
Ta 180.95 Ta.upf
Ag 107.87 Ag.upf
ATOMIC_POSITIONS crystal
Zr 0.0000 0.0000 0.0000
Ta 0.3355 0.3355 0.0000
Ag 0.6745 0.6745 0.0000
CELL_PARAMETERS angstrom
-1.4693 1.4693 6.7634
1.4693 -1.4693 6.7634
1.4693 1.4693 -6.7634
```

- ΔE to the lowest computed polymorph (kJ/mol of atoms) = 13.1
- final energy (eV/atom) = -7.660
- ΔE_f (eV/atom) = 0.091

Crystalline Cs2Li2ZnF6 at its relaxed geometry, computed with PBE. Values from VASP.

Quantum ESPRESSO input file:
```
&SYSTEM
  ibrav = 0, nat = 11, ntyp = 4
/
ATOMIC_SPECIES
Cs 132.91 Cs.upf
Li 6.94 Li.upf
Zn 65.41 Zn.upf
F 19.00 F.upf
ATOMIC_POSITIONS crystal
Cs 0.2194 0.2194 0.1649
Cs 0.7806 0.7806 0.8351
Li 0.4074 0.4074 0.7130
Li 0.5926 0.5926 0.2870
Zn 0.0000 0.0000 0.5000
F 0.2289 0.2289 0.6908
F 0.2383 0.7544 0.7188
F 0.2456 0.7617 0.2812
F 0.7544 0.2383 0.7188
F 0.7617 0.2456 0.2812
F 0.7711 0.7711 0.3092
CELL_PARAMETERS angstrom
5.2691 -3.0297 0.0000
5.2691 3.0297 0.0000
-3.2806 0.0000 5.8734
```

- final energy (eV/atom) = -4.306
- E_form (uncorrected) (eV per formula unit) = -29.3

Crystalline Pa2ReS at its relaxed geometry, computed with PBE. Values from VASP.

Quantum ESPRESSO input file:
```
&SYSTEM
  ibrav = 0, nat = 4, ntyp = 3
/
ATOMIC_SPECIES
Pa 231.04 Pa.upf
Re 186.21 Re.upf
S 32.06 S.upf
ATOMIC_POSITIONS crystal
Pa 0.2445 0.2445 0.2445
Pa 0.7555 0.7555 0.7555
Re 0.5000 0.5000 0.5000
S 0.0000 0.0000 0.0000
CELL_PARAMETERS angstrom
1.9624 1.1330 6.8380
-1.9624 1.1330 6.8380
0.0000 -2.2660 6.8380
```

- ΔE to the lowest computed polymorph (kJ/mol of atoms) = 0.6
- final energy (eV/atom) = -9.552
- E_form (uncorrected) (eV per formula unit) = -2.6

Crystalline KMg2Be at its relaxed geometry, computed with PBE. Values from VASP.

Quantum ESPRESSO input file:
```
&SYSTEM
  ibrav = 0, nat = 4, ntyp = 3
/
ATOMIC_SPECIES
K 39.10 K.upf
Mg 24.30 Mg.upf
Be 9.01 Be.upf
ATOMIC_POSITIONS crystal
K 0.0000 0.0000 0.0000
Mg 0.0000 0.5000 0.5000
Mg 0.5000 0.0000 0.5000
Be 0.5000 0.5000 0.0000
CELL_PARAMETERS angstrom
3.4552 0.0000 0.0000
0.0000 5.4204 0.0000
0.0000 0.0000 5.4801
```

- final energy (eV/atom) = -1.287
- ΔE_f (eV/atom) = 0.716